Li2VF6 | GGA+U | optimized geometry

Properties
**Energy relative to the lowest polymorph listed for this composition**: 0.067 eV/atom
**D(E_F)**: 0.00 states/eV per cell
**Raw total energy**: -5.30 eV/atom
**Volume**: 149.7 Å³ per cell
**Density**: 2.0 Mg/m³

Lattice parameters (Å, degrees): 5.8388 5.8388 5.0708 90.00 90.00 120.00
Space group P-3m1 (No. 164)
Unique sites:
Li (0.3333, 0.6667, 0.2544) [2 per cell]
V (0.0000, 0.0000, 0.5000) [1 per cell]
F (0.1539, 0.3078, 0.2917) [6 per cell]